Gd2DyAl3CuGe2, optimized geometry, DFT PBE; total energy = -44.07 eV per formula unit; space group = Amm2 (38); calculated volume = 179.8 Å³/cell
1.0
-1.0250 0.6814 -4.0183
-6.1508 -3.2422 1.0191
0.5285 6.9297 1.0403
Al Gd Cu Ge Dy
3 2 1 2 1
Direct
0.5000 0.7681 0.7681 Al
0.5000 0.0006 0.2317 Al
0.5000 0.2317 0.0006 Al
0.0000 0.5969 0.9997 Gd
0.0000 0.9997 0.5969 Gd
0.0000 0.0013 0.0013 Cu
0.5000 0.6654 0.3337 Ge
0.5000 0.3337 0.6654 Ge
0.0000 0.4025 0.4025 Dy


GdDy2Al3Cu2Ni, optimized geometry, DFT PBE; total energy = -42.61 eV per formula unit; space group = Amm2 (38); calculated volume = 169.7 Å³/cell
1.0
-3.3443 -0.2673 2.1825
3.2103 3.2211 5.3137
-3.4312 3.7588 -4.7974
Cu Ni Dy Al Gd
2 1 2 3 1
Direct
0.5000 0.3306 0.6675 Cu
0.5000 0.6675 0.3306 Cu
0.0000 0.0021 0.0021 Ni
0.0000 0.4115 0.9996 Dy
0.0000 0.9996 0.4115 Dy
0.5000 0.7702 0.0009 Al
0.5000 0.2298 0.2298 Al
0.5000 0.0009 0.7702 Al
0.0000 0.5878 0.5878 Gd


GdDy2Al3Cu2Pd, optimized geometry, DFT PBE; total energy = -42.89 eV per formula unit; space group = Amm2 (38); calculated volume = 176.0 Å³/cell
1.0
-1.8696 -3.5571 -0.7652
5.7870 -3.4740 2.0102
-4.9596 1.5867 4.7417
Gd Pd Cu Al Dy
1 1 2 3 2
Direct
0.0000 0.5803 0.5803 Gd
0.0000 0.0020 0.0020 Pd
0.5000 0.6674 0.3311 Cu
0.5000 0.3311 0.6674 Cu
0.5000 0.0008 0.7617 Al
0.5000 0.7617 0.0008 Al
0.5000 0.2386 0.2386 Al
0.0000 0.4188 0.9994 Dy
0.0000 0.9994 0.4188 Dy


Dy3Al3Cu2Ge, optimized geometry, DFT PBE; total energy = -40.88 eV per formula unit; space group = P-62m (189); calculated volume = 178.4 Å³/cell
1.0
-2.8739 3.1376 5.8919
-4.3412 -2.5664 -5.2331
-0.1107 -3.4630 1.7901
Dy Al Cu Ge
3 3 2 1
Direct
0.6011 0.6011 0.0000 Dy
0.0000 0.3989 0.0000 Dy
0.3989 0.0000 0.0000 Dy
0.0000 0.7394 0.5000 Al
0.7394 0.0000 0.5000 Al
0.2606 0.2606 0.5000 Al
0.3333 0.6667 0.5000 Cu
0.6667 0.3333 0.5000 Cu
0.0000 0.0000 0.0000 Ge


Dy2HoAl3CuGe2, optimized geometry, DFT PBE; total energy = -43.93 eV per formula unit; space group = Amm2 (38); calculated volume = 176.9 Å³/cell
1.0
-1.5626 -0.1775 -3.8555
-3.7611 -5.6318 1.7836
-2.7021 6.4112 0.8000
Ge Al Ho Cu Dy
2 3 1 1 2
Direct
0.5000 0.6665 0.3334 Ge
0.5000 0.3334 0.6665 Ge
0.5000 0.0000 0.2323 Al
0.5000 0.2323 0.0000 Al
0.5000 0.7677 0.7677 Al
0.0000 0.4029 0.4029 Ho
0.0000 0.0002 0.0002 Cu
0.0000 0.5970 0.0000 Dy
0.0000 0.0000 0.5970 Dy


Dy2LuAl3CuGe2, optimized geometry, DFT PBE; total energy = -43.78 eV per formula unit; space group = Amm2 (38); calculated volume = 175.0 Å³/cell
1.0
-0.4074 -3.0162 -2.8353
5.9084 -2.9186 2.2558
-6.0860 -1.8473 2.8397
Ge Lu Dy Al Cu
2 1 2 3 1
Direct
0.5000 0.3342 0.6630 Ge
0.5000 0.6630 0.3342 Ge
0.0000 0.4024 0.4024 Lu
0.0000 0.5959 0.9990 Dy
0.0000 0.9990 0.5959 Dy
0.5000 0.2329 0.0013 Al
0.5000 0.0013 0.2329 Al
0.5000 0.7669 0.7669 Al
0.0000 0.0044 0.0044 Cu


DyLu2Al3CuGe2, optimized geometry, DFT PBE; total energy = -43.60 eV per formula unit; space group = Amm2 (38); calculated volume = 172.2 Å³/cell
1.0
-4.0244 -0.4477 -0.8350
-1.5538 1.8144 6.5166
0.4869 4.8457 -4.9451
Al Ge Lu Dy Cu
3 2 2 1 1
Direct
0.5000 0.2328 0.2328 Al
0.5000 0.7671 0.0012 Al
0.5000 0.0012 0.7671 Al
0.5000 0.6676 0.3294 Ge
0.5000 0.3294 0.6676 Ge
0.0000 0.9988 0.4025 Lu
0.0000 0.4025 0.9988 Lu
0.0000 0.5957 0.5957 Dy
0.0000 0.0048 0.0048 Cu


Dy2ScAl3CuGe2, optimized geometry, DFT PBE; total energy = -45.55 eV per formula unit; space group = Amm2 (38); calculated volume = 170.5 Å³/cell
1.0
4.1090 0.0000 0.0000
0.0000 5.9755 3.4721
0.0000 -5.9755 3.4721
Ge Sc Al Dy Cu
2 1 3 2 1
Direct
0.5000 0.6574 0.3362 Ge
0.5000 0.3362 0.6574 Ge
0.0000 0.4009 0.4009 Sc
0.5000 0.0017 0.2343 Al
0.5000 0.7670 0.7670 Al
0.5000 0.2343 0.0017 Al
0.0000 0.5939 0.9979 Dy
0.0000 0.9979 0.5939 Dy
0.0000 0.0106 0.0106 Cu


TbDy2Al3CuGe2, optimized geometry, DFT PBE; total energy = -44.00 eV per formula unit; space group = Amm2 (38); calculated volume = 178.0 Å³/cell
1.0
-3.4784 1.8273 -1.4075
-3.8745 -4.8226 3.3140
1.7857 5.9351 3.2920
Cu Al Ge Dy Tb
1 3 2 2 1
Direct
0.0000 0.0002 0.0002 Cu
0.5000 0.0000 0.7678 Al
0.5000 0.7678 0.0000 Al
0.5000 0.2322 0.2322 Al
0.5000 0.6667 0.3332 Ge
0.5000 0.3332 0.6667 Ge
0.0000 0.0000 0.4029 Dy
0.0000 0.4029 0.0000 Dy
0.0000 0.5970 0.5970 Tb


Tb2DyAl3CuGe2, optimized geometry, DFT PBE; total energy = -44.03 eV per formula unit; space group = Amm2 (38); calculated volume = 178.6 Å³/cell
1.0
4.1784 0.0000 0.0000
0.0000 6.0832 3.5126
0.0000 -6.0832 3.5126
Al Cu Tb Ge Dy
3 1 2 2 1
Direct
0.5000 0.0000 0.2322 Al
0.5000 0.7677 0.7677 Al
0.5000 0.2322 0.0000 Al
0.0000 0.0002 0.0002 Cu
0.0000 0.0000 0.5970 Tb
0.0000 0.5970 0.0000 Tb
0.5000 0.6665 0.3334 Ge
0.5000 0.3334 0.6665 Ge
0.0000 0.4029 0.4029 Dy


Dy2TmAl3CuGe2, optimized geometry, DFT PBE; total energy = -43.79 eV per formula unit; space group = Amm2 (38); calculated volume = 175.8 Å³/cell
1.0
-0.1129 -3.8163 -1.6724
6.9652 -0.3145 0.2477
-3.7802 -2.2595 5.4110
Ge Dy Tm Al Cu
2 2 1 3 1
Direct
0.5000 0.3339 0.6646 Ge
0.5000 0.6646 0.3339 Ge
0.0000 0.9995 0.5964 Dy
0.0000 0.5964 0.9995 Dy
0.0000 0.4026 0.4026 Tm
0.5000 0.2326 0.0009 Al
0.5000 0.0009 0.2326 Al
0.5000 0.7672 0.7672 Al
0.0000 0.0023 0.0023 Cu


DyTm2Al3CuGe2, optimized geometry, DFT PBE; total energy = -43.61 eV per formula unit; space group = Amm2 (38); calculated volume = 173.9 Å³/cell
1.0
4.1463 0.0000 0.0000
0.0000 6.0306 3.4777
0.0000 -6.0306 3.4777
Al Tm Ge Dy Cu
3 2 2 1 1
Direct
0.5000 0.2323 0.2323 Al
0.5000 0.7676 0.0007 Al
0.5000 0.0007 0.7676 Al
0.0000 0.9996 0.4028 Tm
0.0000 0.4028 0.9996 Tm
0.5000 0.6671 0.3317 Ge
0.5000 0.3317 0.6671 Ge
0.0000 0.5965 0.5965 Dy
0.0000 0.0018 0.0018 Cu